Entry from Alexandria: crystalline ErSc14Pa at its relaxed geometry (PBE-GGA).

Geometry as CIF:
```
data_ErSc14Pa
_cell_length_a 10.403
_cell_length_b 6.629
_cell_length_c 6.629
_cell_angle_alpha 60.24
_cell_angle_beta 90.00
_cell_angle_gamma 90.00
_symmetry_space_group_name_H-M 'P 1'
_symmetry_Int_Tables_number 1
_symmetry_space_group_name_Hall 'P 1'
loop_
_atom_site_label
_atom_site_fract_x
_atom_site_fract_y
_atom_site_fract_z
_atom_site_occupancy
Er1 0.000 0.000 0.000 1
Sc1 0.000 0.496 0.999 1
Sc2 0.000 0.999 0.496 1
Sc3 0.249 0.334 0.334 1
Sc4 0.253 0.336 0.826 1
Sc5 0.253 0.826 0.336 1
Sc6 0.258 0.830 0.830 1
Sc7 0.500 0.498 0.999 1
Sc8 0.500 0.499 0.499 1
Sc9 0.500 0.998 0.998 1
Sc10 0.500 0.999 0.498 1
Sc11 0.742 0.830 0.830 1
Sc12 0.747 0.336 0.826 1
Sc13 0.747 0.826 0.336 1
Sc14 0.751 0.334 0.334 1
Pa1 0.000 0.500 0.500 1
```

* SG: Amm2 (38)
* formation enthalpy at 0 K: 0.033 eV per atom
* total energy: -6.386 eV/atom

---

Entry from Alexandria: crystalline ErScPa at its relaxed geometry (PBE-GGA).

Geometry as CIF:
```
data_ErScPa
_cell_length_a 3.341
_cell_length_b 3.344
_cell_length_c 16.333
_cell_angle_alpha 89.95
_cell_angle_beta 89.91
_cell_angle_gamma 60.06
_symmetry_space_group_name_H-M 'P 1'
_symmetry_Int_Tables_number 1
_symmetry_space_group_name_Hall 'P 1'
loop_
_atom_site_label
_atom_site_fract_x
_atom_site_fract_y
_atom_site_fract_z
_atom_site_occupancy
Er1 0.159 0.169 0.089 1
Er2 0.841 0.831 0.911 1
Sc1 0.499 0.506 0.261 1
Sc2 0.501 0.494 0.739 1
Pa1 0.170 0.172 0.419 1
Pa2 0.830 0.828 0.581 1
```

* SG: P-1 (2)
* formation enthalpy at 0 K: 0.042 eV per atom
* total energy: -6.755 eV/atom

---

Entry from Alexandria: crystalline ErScPa2Se4 at its relaxed geometry (PBE-GGA).

Geometry as CIF:
```
data_ErScPa2Se4
_cell_length_a 6.618
_cell_length_b 3.829
_cell_length_c 7.496
_cell_angle_alpha 90.00
_cell_angle_beta 107.15
_cell_angle_gamma 90.00
_symmetry_space_group_name_H-M 'P 1'
_symmetry_Int_Tables_number 1
_symmetry_space_group_name_Hall 'P 1'
loop_
_atom_site_label
_atom_site_fract_x
_atom_site_fract_y
_atom_site_fract_z
_atom_site_occupancy
Er1 0.000 0.000 0.000 1
Sc1 0.500 0.500 0.000 1
Pa1 0.000 0.500 0.500 1
Pa2 0.500 0.000 0.500 1
Se1 0.251 0.500 0.234 1
Se2 0.262 0.000 0.769 1
Se3 0.738 0.000 0.231 1
Se4 0.749 0.500 0.766 1
```

* SG: P2/m (10)
* total energy: -6.890 eV/atom
* ΔE_f (raw): -11.3 eV/f.u.

---

Entry from Alexandria: crystalline SmErScPa at its relaxed geometry (PBE-GGA).

Geometry as CIF:
```
data_SmErScPa
_cell_length_a 7.694
_cell_length_b 7.694
_cell_length_c 7.694
_cell_angle_alpha 90.00
_cell_angle_beta 90.00
_cell_angle_gamma 90.00
_symmetry_space_group_name_H-M 'P 1'
_symmetry_Int_Tables_number 1
_symmetry_space_group_name_Hall 'P 1'
loop_
_atom_site_label
_atom_site_fract_x
_atom_site_fract_y
_atom_site_fract_z
_atom_site_occupancy
Sm1 0.000 0.000 0.000 1
Sm2 0.000 0.500 0.500 1
Sm3 0.500 0.000 0.500 1
Sm4 0.500 0.500 0.000 1
Er1 0.250 0.250 0.750 1
Er2 0.250 0.750 0.250 1
Er3 0.750 0.250 0.250 1
Er4 0.750 0.750 0.750 1
Sc1 0.000 0.000 0.500 1
Sc2 0.000 0.500 0.000 1
Sc3 0.500 0.000 0.000 1
Sc4 0.500 0.500 0.500 1
Pa1 0.250 0.250 0.250 1
Pa2 0.250 0.750 0.750 1
Pa3 0.750 0.250 0.750 1
Pa4 0.750 0.750 0.250 1
```

* SG: F-43m (216)
* formation enthalpy at 0 K: 0.339 eV per atom
* total energy: -5.938 eV/atom

---

Entry from Alexandria: crystalline ErScPa2Tc4 at its relaxed geometry (PBE-GGA).

Geometry as CIF:
```
data_ErScPa2Tc4
_cell_length_a 8.845
_cell_length_b 8.845
_cell_length_c 8.845
_cell_angle_alpha 30.17
_cell_angle_beta 30.17
_cell_angle_gamma 30.17
_symmetry_space_group_name_H-M 'P 1'
_symmetry_Int_Tables_number 1
_symmetry_space_group_name_Hall 'P 1'
loop_
_atom_site_label
_atom_site_fract_x
_atom_site_fract_y
_atom_site_fract_z
_atom_site_occupancy
Er1 0.000 0.000 0.000 1
Sc1 0.500 0.500 0.500 1
Pa1 0.248 0.248 0.248 1
Pa2 0.752 0.752 0.752 1
Tc1 0.127 0.127 0.127 1
Tc2 0.387 0.387 0.387 1
Tc3 0.613 0.613 0.613 1
Tc4 0.873 0.873 0.873 1
```

* SG: R-3m (166)
* formation enthalpy at 0 K: -0.279 eV per atom
* total energy: -9.198 eV/atom

---

Entry from Alexandria: crystalline ErZrScPa at its relaxed geometry (PBE-GGA).

Geometry as CIF:
```
data_ErZrScPa
_cell_length_a 7.412
_cell_length_b 7.412
_cell_length_c 7.412
_cell_angle_alpha 90.00
_cell_angle_beta 90.00
_cell_angle_gamma 90.00
_symmetry_space_group_name_H-M 'P 1'
_symmetry_Int_Tables_number 1
_symmetry_space_group_name_Hall 'P 1'
loop_
_atom_site_label
_atom_site_fract_x
_atom_site_fract_y
_atom_site_fract_z
_atom_site_occupancy
Er1 0.000 0.000 0.000 1
Er2 0.000 0.500 0.500 1
Er3 0.500 0.000 0.500 1
Er4 0.500 0.500 0.000 1
Zr1 0.250 0.250 0.750 1
Zr2 0.250 0.750 0.250 1
Zr3 0.750 0.250 0.250 1
Zr4 0.750 0.750 0.750 1
Sc1 0.250 0.250 0.250 1
Sc2 0.250 0.750 0.750 1
Sc3 0.750 0.250 0.750 1
Sc4 0.750 0.750 0.250 1
Pa1 0.000 0.000 0.500 1
Pa2 0.000 0.500 0.000 1
Pa3 0.500 0.000 0.000 1
Pa4 0.500 0.500 0.500 1
```

* SG: F-43m (216)
* formation enthalpy at 0 K: 0.214 eV per atom
* total energy: -7.021 eV/atom

---

no.,total moment (μB/f.u.)
1,0.0
2,0.0
3,0.0
4,0.0
5,0.0
6,0.0